PBE with a Hubbard U BaV4Cu3O12, optimized geometry; calculated total energy = -6.74 eV/atom; total magnetic moment = 0.046 μB per atom; space group = Im-3 (204)
1.0
6.4845 0.0000 0.0000
-2.1615 6.1136 0.0000
-2.1615 -3.0568 5.2946
Cu V O Ba
3 4 12 1
direct
0.5000 0.0000 0.5000
0.0000 0.5000 0.5000
0.5000 0.5000 0.0000
0.5000 0.0000 0.0000
0.5000 0.5000 0.5000
0.0000 0.5000 0.0000
0.0000 0.0000 0.5000
0.6943 0.8113 0.5055
0.8113 0.5055 0.6943
0.1170 0.3057 0.8113
0.1887 0.4945 0.3057
0.5055 0.6943 0.8113
0.8113 0.1170 0.3057
0.1887 0.8830 0.6943
0.6943 0.1887 0.8830
0.3057 0.8113 0.1170
0.8830 0.6943 0.1887
0.4945 0.3057 0.1887
0.3057 0.1887 0.4945
0.0000 0.0000 0.0000